(1)
# Sm4Te3C (GGA-PBE, relaxed)
data_Sm4Te3C
_chemical_formula_sum 'Sm8 Te6 C2'
_cell_length_a 9.4090
_cell_length_b 9.2756
_cell_length_c 6.1465
_cell_angle_alpha 90.00
_cell_angle_beta 90.00
_cell_angle_gamma 90.00
_symmetry_space_group_name_H-M 'P m n 21'
_symmetry_Int_Tables_number 31
loop_
_symmetry_equiv_pos_as_xyz
'x,y,z'
'-x+1/2,-y,z+1/2'
'-x,y,z'
'x+1/2,-y,z+1/2'
loop_
_atom_site_label
_atom_site_fract_x
_atom_site_fract_y
_atom_site_fract_z
Sm1 0.0000 0.0657 0.0000
Sm2 0.0000 0.8127 0.5404
Sm3 0.2141 0.6890 0.0079
Te1 0.0000 0.1354 0.5044
Te2 0.2131 0.3464 0.0109
C1 0.0000 0.8119 0.9354
# energy relative to the elements, uncorrected	-0.91	eV per atom
# total energy	-5.602	eV/atom
# crystal system	orthorhombic
# density of states at the Fermi level	0.770	states/eV per atom
# energy above the most stable polymorph in this dataset	176.6	meV per atom


(2)
# Ac2PrHg (GGA-PBE, relaxed)
data_Ac2PrHg
_chemical_formula_sum 'Ac2 Pr1 Hg1'
_cell_length_a 3.9782
_cell_length_b 3.9782
_cell_length_c 9.4269
_cell_angle_alpha 90.00
_cell_angle_beta 90.00
_cell_angle_gamma 90.00
_symmetry_space_group_name_H-M 'P 4/m m m'
_symmetry_Int_Tables_number 123
_symmetry_space_group_name_Hall '-P 4 2'
loop_
_atom_site_label
_atom_site_fract_x
_atom_site_fract_y
_atom_site_fract_z
Ac1 0.0000 0.0000 0.2201
Pr1 0.5000 0.5000 0.5000
Hg1 0.5000 0.5000 0.0000
# total energy	-3.552	eV/atom
# crystal system	tetragonal
# formation enthalpy at 0 K	-0.227	eV per atom
# density of states at the Fermi level	1.019	states/eV per atom
# energy above the most stable polymorph in this dataset	0.0	meV per atom


(3)
# Fe2Mo (GGA-PBE, relaxed)
data_Fe2Mo
_chemical_formula_sum 'Fe6 Mo3'
_cell_length_a 5.9737
_cell_length_b 5.9737
_cell_length_c 3.9753
_cell_angle_alpha 90.00
_cell_angle_beta 90.00
_cell_angle_gamma 120.00
_symmetry_space_group_name_H-M 'P -6 2 m'
_symmetry_Int_Tables_number 189
_symmetry_space_group_name_Hall 'P -6 -2'
loop_
_atom_site_label
_atom_site_fract_x
_atom_site_fract_y
_atom_site_fract_z
Fe1 0.0000 0.2438 0.0000
Fe2 0.0000 0.5736 0.5000
Mo1 0.0000 0.0000 0.5000
Mo2 0.3333 0.6667 0.0000
# total energy	-8.715	eV/atom
# crystal system	hexagonal
# formation enthalpy at 0 K	0.537	eV per atom
# density of states at the Fermi level	0.895	states/eV per atom


(4)
# K2Zn2Au (GGA-PBE, relaxed)
data_K2Zn2Au
_chemical_formula_sum 'K4 Zn4 Au2'
_cell_length_a 7.0415
_cell_length_b 7.0415
_cell_length_c 5.5967
_cell_angle_alpha 90.00
_cell_angle_beta 90.00
_cell_angle_gamma 90.00
_symmetry_space_group_name_H-M 'P 4/m b m'
_symmetry_Int_Tables_number 127
_symmetry_space_group_name_Hall '-P 4 2ab'
loop_
_atom_site_label
_atom_site_fract_x
_atom_site_fract_y
_atom_site_fract_z
K1 0.1846 0.3154 0.0000
Zn1 0.1353 0.6353 0.5000
Au1 0.0000 0.0000 0.5000
# total energy	-1.650	eV/atom
# crystal system	tetragonal
# formation enthalpy at 0 K	-0.046	eV per atom
# density of states at the Fermi level	0.436	states/eV per atom
# energy above the most stable polymorph in this dataset	45.5	meV per atom